No. 1
# Th2Be3Ge4Pd (GGA-PBE, relaxed)
# - DOS at the Fermi energy (states/eV/atom) = 0.28
# - energy of formation from the pure elements (eV/f.u.) = -4.6
data_Th2Be3Ge4Pd
_symmetry_space_group_name_H-M 'P -4 m 2'
_symmetry_Int_Tables_number 115
_cell_length_a 4.2282
_cell_length_b 4.2282
_cell_length_c 9.6087
_cell_angle_alpha 90.00
_cell_angle_beta 90.00
_cell_angle_gamma 90.00
loop_
_symmetry_equiv_pos_as_xyz
'x,y,z'
'y,-x,-z'
'-x,-y,z'
'-y,x,-z'
'-x,y,z'
'-y,-x,-z'
'x,-y,z'
'y,x,-z'
loop_
_atom_site_label
_atom_site_fract_x
_atom_site_fract_y
_atom_site_fract_z
Th1 0.0000 0.5000 0.2465
Be1 0.0000 0.5000 0.8817
Be2 0.5000 0.5000 0.5000
Ge1 0.0000 0.0000 0.0000
Ge2 0.0000 0.5000 0.6441
Ge3 0.5000 0.5000 0.0000
Pd1 0.0000 0.0000 0.5000


No. 2
# TmBe2GePd2 (GGA-PBE, relaxed)
# - DOS at the Fermi energy (states/eV/atom) = 0.29
# - energy of formation from the pure elements (eV/f.u.) = -1.2
data_TmBe2GePd2
_symmetry_space_group_name_H-M 'P 4/m m m'
_symmetry_Int_Tables_number 123
_symmetry_space_group_name_Hall '-P 4 2'
_cell_length_a 4.1514
_cell_length_b 4.1514
_cell_length_c 5.6002
_cell_angle_alpha 90.00
_cell_angle_beta 90.00
_cell_angle_gamma 90.00
loop_
_atom_site_label
_atom_site_fract_x
_atom_site_fract_y
_atom_site_fract_z
Tm1 0.0000 0.0000 0.0000
Be1 0.0000 0.5000 0.5000
Ge1 0.0000 0.0000 0.5000
Pd1 0.5000 0.5000 0.2467


No. 3
# Tm2BeGePd6 (GGA-PBE, relaxed)
# - DOS at the Fermi energy (states/eV/atom) = 0.37
# - energy of formation from the pure elements (eV/f.u.) = -6.9
data_Tm2BeGePd6
_symmetry_space_group_name_H-M 'P -1'
_symmetry_Int_Tables_number 2
_cell_length_a 5.6287
_cell_length_b 5.7477
_cell_length_c 6.5527
_cell_angle_alpha 73.69
_cell_angle_beta 72.89
_cell_angle_gamma 61.14
loop_
_symmetry_equiv_pos_as_xyz
'x,y,z'
'-x,-y,-z'
loop_
_atom_site_label
_atom_site_fract_x
_atom_site_fract_y
_atom_site_fract_z
Tm1 0.1629 0.3247 0.2635
Be1 0.0000 0.0000 0.0000
Ge1 0.5000 0.5000 0.5000
Pd1 0.1169 0.8401 0.3201
Pd2 0.3200 0.6526 0.8557
Pd3 0.3262 0.1641 0.8225


No. 4
# Tm2BeGe4Pd3 (GGA-PBE, relaxed)
# - DOS at the Fermi energy (states/eV/atom) = 0.44
# - energy of formation from the pure elements (eV/f.u.) = -6.5
data_Tm2BeGe4Pd3
_symmetry_space_group_name_H-M 'P -4 m 2'
_symmetry_Int_Tables_number 115
_cell_length_a 3.9528
_cell_length_b 3.9528
_cell_length_c 11.3160
_cell_angle_alpha 90.00
_cell_angle_beta 90.00
_cell_angle_gamma 90.00
loop_
_symmetry_equiv_pos_as_xyz
'x,y,z'
'y,-x,-z'
'-x,-y,z'
'-y,x,-z'
'-x,y,z'
'-y,-x,-z'
'x,-y,z'
'y,x,-z'
loop_
_atom_site_label
_atom_site_fract_x
_atom_site_fract_y
_atom_site_fract_z
Tm1 0.0000 0.5000 0.2300
Be1 0.5000 0.5000 0.0000
Ge1 0.0000 0.0000 0.5000
Ge2 0.0000 0.5000 0.8670
Ge3 0.5000 0.5000 0.5000
Pd1 0.0000 0.0000 0.0000
Pd2 0.0000 0.5000 0.6495


No. 5
# YBeGe2Pd (GGA-PBE, relaxed)
# - DOS at the Fermi energy (states/eV/atom) = 0.21
# - energy of formation from the pure elements (eV/f.u.) = -3.0
data_YBeGe2Pd
_symmetry_space_group_name_H-M 'I -4 m 2'
_symmetry_Int_Tables_number 119
_symmetry_space_group_name_Hall 'I -4 -2'
_cell_length_a 4.0283
_cell_length_b 4.0283
_cell_length_c 10.5652
_cell_angle_alpha 90.00
_cell_angle_beta 90.00
_cell_angle_gamma 90.00
loop_
_atom_site_label
_atom_site_fract_x
_atom_site_fract_y
_atom_site_fract_z
Y1 0.0000 0.0000 0.0000
Be1 0.0000 0.5000 0.2500
Ge1 0.0000 0.0000 0.3830
Pd1 0.0000 0.5000 0.7500


No. 6
# Y2BeGe4Pd3 (GGA-PBE, relaxed)
# - DOS at the Fermi energy (states/eV/atom) = 0.45
# - energy of formation from the pure elements (eV/f.u.) = -6.8
data_Y2BeGe4Pd3
_symmetry_space_group_name_H-M 'P -4 m 2'
_symmetry_Int_Tables_number 115
_cell_length_a 4.0700
_cell_length_b 4.0700
_cell_length_c 10.9205
_cell_angle_alpha 90.00
_cell_angle_beta 90.00
_cell_angle_gamma 90.00
loop_
_symmetry_equiv_pos_as_xyz
'x,y,z'
'y,-x,-z'
'-x,-y,z'
'-y,x,-z'
'-x,y,z'
'-y,-x,-z'
'x,-y,z'
'y,x,-z'
loop_
_atom_site_label
_atom_site_fract_x
_atom_site_fract_y
_atom_site_fract_z
Y1 0.0000 0.5000 0.2343
Be1 0.5000 0.5000 0.0000
Ge1 0.0000 0.0000 0.5000
Ge2 0.0000 0.5000 0.8686
Ge3 0.5000 0.5000 0.5000
Pd1 0.0000 0.0000 0.0000
Pd2 0.0000 0.5000 0.6428


No. 7
# Y2BeGePd6 (GGA-PBE, relaxed)
# - DOS at the Fermi energy (states/eV/atom) = 0.34
# - energy of formation from the pure elements (eV/f.u.) = -6.6
data_Y2BeGePd6
_symmetry_space_group_name_H-M 'P -1'
_symmetry_Int_Tables_number 2
_cell_length_a 5.7588
_cell_length_b 5.7809
_cell_length_c 7.0172
_cell_angle_alpha 66.85
_cell_angle_beta 66.44
_cell_angle_gamma 60.79
loop_
_symmetry_equiv_pos_as_xyz
'x,y,z'
'-x,-y,-z'
loop_
_atom_site_label
_atom_site_fract_x
_atom_site_fract_y
_atom_site_fract_z
Y1 0.2451 0.2429 0.1951
Be1 0.5000 0.5000 0.5000
Ge1 0.0000 0.0000 0.0000
Pd1 0.1839 0.6994 0.3291
Pd2 0.2731 0.2765 0.7546
Pd3 0.2999 0.8225 0.6656


No. 8
# Pm2BeGe3 (GGA-PBE, relaxed)
# - DOS at the Fermi energy (states/eV/atom) = 0.32
# - energy of formation from the pure elements (eV/f.u.) = -3.8
data_Pm2BeGe3
_symmetry_space_group_name_H-M 'P m m 2'
_symmetry_Int_Tables_number 25
_cell_length_a 4.0694
_cell_length_b 4.2373
_cell_length_c 7.1381
_cell_angle_alpha 90.00
_cell_angle_beta 90.00
_cell_angle_gamma 90.00
loop_
_symmetry_equiv_pos_as_xyz
'x,y,z'
'-x,-y,z'
'-x,y,z'
'x,-y,z'
loop_
_atom_site_label
_atom_site_fract_x
_atom_site_fract_y
_atom_site_fract_z
Pm1 0.0000 0.0000 0.0000
Pm2 0.5000 0.0000 0.4991
Be1 0.5000 0.5000 0.1775
Ge1 0.0000 0.5000 0.3080
Ge2 0.0000 0.5000 0.6590
Ge3 0.5000 0.5000 0.8620